The following is a DFT calculation (PBE-GGA) of a relaxed structure of SrZnO2F.

Structure (POSCAR):
```
SrZnO2F
1.0
4.6338 0.0000 0.0000
0.0000 4.6338 0.0000
0.0000 0.0000 4.5193
Sr Zn O F
1 1 2 1
direct
0.0000 0.0000 0.0000
0.5000 0.5000 0.5000
0.0000 0.5000 0.0000
0.5000 0.0000 0.0000
0.0000 0.0000 0.5000
```

Results
The value obtained for the volume is 97.0 Å³/f.u. As for the space group: P4/mmm. As for the density of states at the Fermi level: 4.730 states/eV per cell. Its total energy is -18.968 eV/f.u. The uncorrected formation energy comes out at -845 meV per atom.